ZrIn2Tc | Alexandria | SCAN | PBEsol geometry; energy of formation from the pure elements = 0.2 eV/f.u.; energy above the lowest structure with this stoichiometry = 187.7 meV/atom; volume = 18.9 Å³/atom; magnetization = 0.66 μB/cell
1.0
2.9451 0.0052 0.0086
-0.6188 5.3651 0.0050
-0.6188 -2.4351 4.7806
Tc In Zr
1 2 1
Direct
0.5000 0.5000 0.5000 Tc
0.0000 0.5000 0.0000 In
0.0000 0.0000 0.5000 In
0.5000 0.0000 0.0000 Zr